[1]
## Pm2DyTh3Se6 (PBE)

Data for a relaxed structure of Pm2DyTh3Se6.

The space group is C2/m (No. 12) and the conventional cell measures 18.5333, 4.1254 and 8.4754 Å, with angles of 90.00, 107.09 and 90.00 degrees. The asymmetric unit holds Pm at (0.1665, 0.0000, 0.3328), Dy at (0.0000, 0.5000, 0.0000), Th at (0.0000, 0.5000, 0.5000), Th at (0.1683, 0.0000, 0.8338), Se at (0.0001, 0.0000, 0.2396), Se at (0.1621, 0.5000, 0.0836) and Se at (0.1681, 0.5000, 0.5800).

As for the raw formation energy: -1656 meV/atom.

***

[2]
## Pm4DyTh3Se8 (PBE)

Data for a relaxed structure of Pm4DyTh3Se8.

The space group is R-3m (No. 166, hexagonal axes) and the conventional cell measures 8.3234, 8.3234 and 20.7199 Å, with angles of 90.00, 90.00 and 120.00 degrees. The asymmetric unit holds Pm at (0.0000, 0.0000, 0.0000), Pm at (0.0000, 0.5000, 0.0000), Dy at (0.0000, 0.0000, 0.5000), Th at (0.0000, 0.5000, 0.5000), Se at (0.0000, 0.0000, 0.2514) and Se at (0.0064, 0.5032, 0.2495).

As for the raw formation energy: -1705 meV/atom.

***

[3]
## PmDy2Th3Se6 (PBE)

Data for a relaxed structure of PmDy2Th3Se6.

The space group is C2/m (No. 12) and the conventional cell measures 7.0556, 12.1057 and 7.5117 Å, with angles of 90.00, 107.90 and 90.00 degrees. The asymmetric unit holds Pm at (0.0000, 0.0000, 0.0000), Dy at (0.0000, 0.3324, 0.0000), Th at (0.0000, 0.1623, 0.5000), Th at (0.0000, 0.5000, 0.5000), Se at (0.2370, 0.5000, 0.2334) and Se at (0.2500, 0.1701, 0.2389).

As for the raw formation energy: -1647 meV/atom.

***

[4]
## PmDy3Th4Se8 (PBE)

Data for a relaxed structure of PmDy3Th4Se8.

The space group is R-3m (No. 166, hexagonal axes) and the conventional cell measures 8.1359, 8.1359 and 21.2101 Å, with angles of 90.00, 90.00 and 120.00 degrees. The asymmetric unit holds Pm at (0.0000, 0.0000, 0.0000), Dy at (0.0000, 0.5000, 0.0000), Th at (0.0000, 0.0000, 0.5000), Th at (0.0000, 0.5000, 0.5000), Se at (0.0000, 0.0000, 0.2553) and Se at (0.0048, 0.5024, 0.2542).

As for the raw formation energy: -1652 meV/atom.

***

| no. | density (g/cm³) | magnetization (μB per formula unit) | N(E_F) (states/eV/atom) |
| --- | --- | --- | --- |
| 1 | 8.70 | 0.00 | 0.76 |
| 2 | 8.30 | 0.00 | 0.52 |
| 3 | 8.92 | 0.00 | 0.66 |
| 4 | 8.98 | 0.00 | 0.34 |